Record 1
KRb2Hg6Pt: relaxed, PBE.

As for the total energy: -1.307 eV per atom. The energy of formation is -0.218 eV per atom.

The space group is P-3m1 (No. 164) and the conventional cell measures 7.5847, 7.5847 and 6.8332 Å, with angles of 90.00, 90.00 and 120.00 degrees. The inequivalent atoms are K at (0.0000, 0.0000, 0.0000), Rb at (0.3333, 0.6667, 0.8340), Hg at (0.1959, 0.3917, 0.3330) and Pt at (0.0000, 0.0000, 0.5000).

---

Record 2
K2RbHgPt: relaxed, PBE.

As for the total energy: -1.966 eV per atom. The energy of formation is -0.065 eV per atom.

The space group is P4/mmm (No. 123) and the conventional cell measures 6.178, 6.178 and 5.477 Å, with angles of 90.00, 90.00 and 90.00 degrees. The inequivalent atoms are K at (0.000, 0.500, 0.000), Rb at (0.000, 0.000, 0.500), Hg at (0.500, 0.500, 0.500) and Pt at (0.500, 0.500, 0.000).

---

Record 3
KHg2SbPt: relaxed, PBE.

As for the total energy: -2.557 eV per atom. For the formation energy without anion corrections, the calculation gives -0.1838 eV per atom.

The space group is P4/mmm (No. 123) and the conventional cell measures 5.357, 5.357 and 5.317 Å, with angles of 90.00, 90.00 and 90.00 degrees. The inequivalent atoms are K at (0.000, 0.000, 0.000), Hg at (0.000, 0.500, 0.500), Sb at (0.500, 0.500, 0.000) and Pt at (0.500, 0.500, 0.500).

---

Record 4
K2HgSb3Pt4: relaxed, PBE.

As for the total energy: -4.313 eV per atom. For the formation energy without anion corrections, the calculation gives -0.4100 eV per atom.

The space group is P-4m2 (No. 115) and the conventional cell measures 4.834, 4.834 and 10.346 Å, with angles of 90.00, 90.00 and 90.00 degrees. The inequivalent atoms are K at (0.000, 0.500, 0.250), Hg at (0.000, 0.000, 0.500), Sb at (0.000, 0.500, 0.881), Sb at (0.500, 0.500, 0.500), Pt at (0.000, 0.000, 0.000), Pt at (0.000, 0.500, 0.626) and Pt at (0.500, 0.500, 0.000).

---

Record 5
K2ScHgPt: relaxed, PBE.

As for the total energy: -2.283 eV per atom. The energy of formation is 0.691 eV per atom.

The space group is P4/mmm (No. 123) and the conventional cell measures 5.865, 5.865 and 5.525 Å, with angles of 90.00, 90.00 and 90.00 degrees. The inequivalent atoms are K at (0.000, 0.500, 0.000), Sc at (0.000, 0.000, 0.500), Hg at (0.000, 0.000, 0.000) and Pt at (0.500, 0.500, 0.500).

---

Record 6
KHg2PtSe: relaxed, PBE.

As for the total energy: -2.547 eV per atom. For the formation energy without anion corrections, the calculation gives -0.3014 eV per atom.

The space group is P4/mmm (No. 123) and the conventional cell measures 5.314, 5.314 and 5.229 Å, with angles of 90.00, 90.00 and 90.00 degrees. The inequivalent atoms are K at (0.000, 0.000, 0.000), Hg at (0.000, 0.500, 0.500), Pt at (0.500, 0.500, 0.500) and Se at (0.500, 0.500, 0.000).

---

Record 7
KSiHg2Pt: relaxed, PBE.

As for the total energy: -1.932 eV per atom. For the formation energy without anion corrections, the calculation gives 0.7005 eV per atom.

The space group is P4/mmm (No. 123) and the conventional cell measures 4.983, 4.983 and 6.066 Å, with angles of 90.00, 90.00 and 90.00 degrees. The inequivalent atoms are K at (0.000, 0.000, 0.000), Si at (0.000, 0.000, 0.500), Hg at (0.000, 0.500, 0.500) and Pt at (0.500, 0.500, 0.000).

---

Record 8
K2SiHgPt: relaxed, PBE.

As for the total energy: -2.974 eV per atom. For the formation energy without anion corrections, the calculation gives -0.1823 eV per atom.

The space group is P4/mmm (No. 123) and the conventional cell measures 6.350, 6.350 and 4.534 Å, with angles of 90.00, 90.00 and 90.00 degrees. The inequivalent atoms are K at (0.000, 0.500, 0.000), Si at (0.000, 0.000, 0.500), Hg at (0.500, 0.500, 0.500) and Pt at (0.000, 0.000, 0.000).

---

Record 9
K2SnHgPt: relaxed, PBE.

As for the total energy: -2.693 eV per atom. The energy of formation is -0.185 eV per atom.

The space group is P4/mmm (No. 123) and the conventional cell measures 6.304, 6.304 and 5.049 Å, with angles of 90.00, 90.00 and 90.00 degrees. The inequivalent atoms are K at (0.000, 0.500, 0.000), Sn at (0.000, 0.000, 0.500), Hg at (0.500, 0.500, 0.500) and Pt at (0.000, 0.000, 0.000).

---

Record 10
KSnHg2Pt: relaxed, PBE.

As for the total energy: -2.556 eV per atom. The energy of formation is -0.207 eV per atom.

The space group is P4/mmm (No. 123) and the conventional cell measures 5.393, 5.393 and 5.211 Å, with angles of 90.00, 90.00 and 90.00 degrees. The inequivalent atoms are K at (0.000, 0.000, 0.000), Sn at (0.500, 0.500, 0.000), Hg at (0.000, 0.500, 0.500) and Pt at (0.500, 0.500, 0.500).

---

Record 11
KHg2TePt: relaxed, PBE.

As for the total energy: -2.500 eV per atom. For the formation energy without anion corrections, the calculation gives -0.3236 eV per atom.

The space group is P4/mmm (No. 123) and the conventional cell measures 5.328, 5.328 and 5.549 Å, with angles of 90.00, 90.00 and 90.00 degrees. The inequivalent atoms are K at (0.000, 0.000, 0.000), Hg at (0.000, 0.500, 0.500), Te at (0.500, 0.500, 0.000) and Pt at (0.500, 0.500, 0.500).

---

Record 12
K2Tl5Hg3Pt2: relaxed, PBE.

As for the total energy: -2.360 eV per atom. The energy of formation is -0.109 eV per atom.

The space group is I4/mmm (No. 139) and the conventional cell measures 5.322, 5.322 and 29.263 Å, with angles of 90.00, 90.00 and 90.00 degrees. The inequivalent atoms are K at (0.000, 0.000, 0.203), Tl at (0.000, 0.000, 0.000), Tl at (0.000, 0.500, 0.100), Hg at (0.000, 0.000, 0.324), Hg at (0.000, 0.000, 0.500) and Pt at (0.000, 0.000, 0.092).

---

Record 13
KTlHgPt: relaxed, PBE.

As for the total energy: -2.607 eV per atom. The energy of formation is -0.155 eV per atom.

The space group is R3m (No. 160, hexagonal axes) and the conventional cell measures 4.7813, 4.7813 and 18.2754 Å, with angles of 90.00, 90.00 and 120.00 degrees. The inequivalent atoms are K at (0.0000, 0.0000, 0.0000), Tl at (0.0000, 0.0000, 0.4539), Hg at (0.0000, 0.0000, 0.2077) and Pt at (0.0000, 0.0000, 0.8182).

---

Record 14
K2Tl6HgPt: relaxed, PBE.

As for the total energy: -2.318 eV per atom. The energy of formation is -0.044 eV per atom.

The space group is R-3m (No. 166, hexagonal axes) and the conventional cell measures 8.3714, 8.3714 and 35.3585 Å, with angles of 90.00, 90.00 and 120.00 degrees. The inequivalent atoms are K at (0.0000, 0.0000, 0.1448), K at (0.0000, 0.0000, 0.2816), Tl at (0.0301, 0.5151, 0.1179), Tl at (0.0610, 0.5305, 0.7231), Hg at (0.0000, 0.0000, 0.3720), Pt at (0.0000, 0.0000, 0.0000) and Pt at (0.0000, 0.0000, 0.5000).

---

Record 15
KTl2HgPt: relaxed, PBE.

As for the total energy: -2.539 eV per atom. The energy of formation is -0.104 eV per atom.

The space group is P4/mmm (No. 123) and the conventional cell measures 5.302, 5.302 and 6.266 Å, with angles of 90.00, 90.00 and 90.00 degrees. The inequivalent atoms are K at (0.000, 0.000, 0.000), Tl at (0.000, 0.500, 0.500), Hg at (0.500, 0.500, 0.000) and Pt at (0.000, 0.000, 0.500).

---

Record 16
K2TlHg6Pt: relaxed, PBE.

As for the total energy: -1.384 eV per atom. The energy of formation is -0.143 eV per atom.

The space group is Pmmn (No. 59, origin choice 2) and the conventional cell measures 7.990, 10.169 and 8.049 Å, with angles of 90.00, 90.00 and 90.00 degrees. The inequivalent atoms are K at (0.250, 0.040, 0.241), Tl at (0.250, 0.750, 0.896), Hg at (0.039, 0.250, 0.878), Hg at (0.069, 0.750, 0.509), Hg at (0.250, 0.506, 0.698) and Pt at (0.250, 0.250, 0.601).

---

Record 17
K2TlHgPt: relaxed, PBE.

As for the total energy: -2.113 eV per atom. The energy of formation is 0.068 eV per atom.

The space group is P4/mmm (No. 123) and the conventional cell measures 6.105, 6.105 and 5.277 Å, with angles of 90.00, 90.00 and 90.00 degrees. The inequivalent atoms are K at (0.000, 0.500, 0.000), Tl at (0.000, 0.000, 0.500), Hg at (0.500, 0.500, 0.500) and Pt at (0.500, 0.500, 0.000).

---

Record 18
KTl2HgPt: relaxed, PBE.

As for the total energy: -2.564 eV per atom. The energy of formation is -0.129 eV per atom.

The space group is P4/mmm (No. 123) and the conventional cell measures 5.392, 5.392 and 5.450 Å, with angles of 90.00, 90.00 and 90.00 degrees. The inequivalent atoms are K at (0.000, 0.000, 0.000), Tl at (0.000, 0.500, 0.500), Hg at (0.500, 0.500, 0.000) and Pt at (0.500, 0.500, 0.500).

---

Record 19
K2TlHgPt: relaxed, PBE.

As for the total energy: -2.282 eV per atom. The energy of formation is -0.101 eV per atom.

The space group is P4/mmm (No. 123) and the conventional cell measures 6.203, 6.203 and 5.267 Å, with angles of 90.00, 90.00 and 90.00 degrees. The inequivalent atoms are K at (0.000, 0.500, 0.000), Tl at (0.000, 0.000, 0.500), Hg at (0.500, 0.500, 0.500) and Pt at (0.000, 0.000, 0.000).

---

Record 20
K2ZnHgPt: relaxed, PBE.

As for the total energy: -2.053 eV per atom. The energy of formation is -0.091 eV per atom.

The space group is P4/mmm (No. 123) and the conventional cell measures 6.218, 6.218 and 4.849 Å, with angles of 90.00, 90.00 and 90.00 degrees. The inequivalent atoms are K at (0.000, 0.500, 0.000), Zn at (0.000, 0.000, 0.500), Hg at (0.500, 0.500, 0.500) and Pt at (0.000, 0.000, 0.000).

---

Record 21
KZnHg2Pt: relaxed, PBE.

As for the total energy: -2.082 eV per atom. The energy of formation is -0.279 eV per atom.

The space group is P4/mmm (No. 123) and the conventional cell measures 5.374, 5.374 and 4.951 Å, with angles of 90.00, 90.00 and 90.00 degrees. The inequivalent atoms are K at (0.000, 0.000, 0.000), Zn at (0.500, 0.500, 0.000), Hg at (0.000, 0.500, 0.500) and Pt at (0.500, 0.500, 0.500).

---

Record 22
KPuHg6: relaxed, PBE.

As for the total energy: -2.305 eV per atom. The energy of formation is -0.150 eV per atom.

The space group is Pmm2 (No. 25) and the conventional cell measures 5.387, 6.959 and 5.772 Å, with angles of 90.00, 90.00 and 90.00 degrees. The inequivalent atoms are K at (0.000, 0.000, 0.000), Pu at (0.500, 0.500, 0.325), Hg at (0.000, 0.266, 0.495), Hg at (0.000, 0.500, 0.998), Hg at (0.500, 0.000, 0.378) and Hg at (0.500, 0.268, 0.833).

---

Record 23
K2PuHgS4: relaxed, PBE.

As for the total energy: -5.206 eV per atom. For the formation energy without anion corrections, the calculation gives -1.0385 eV per atom.

The space group is P2/m (No. 10) and the conventional cell measures 7.302, 4.031 and 7.789 Å, with angles of 90.00, 111.28 and 90.00 degrees. The inequivalent atoms are K at (0.000, 0.000, 0.000), K at (0.500, 0.500, 0.000), Pu at (0.000, 0.500, 0.500), Hg at (0.500, 0.000, 0.500), S at (0.202, 0.000, 0.715) and S at (0.261, 0.500, 0.317).

---

Record 24
K3Pu3HgS8: relaxed, PBE.

As for the total energy: -6.543 eV per atom. For the formation energy without anion corrections, the calculation gives -1.2352 eV per atom.

The space group is C2/m (No. 12) and the conventional cell measures 14.220, 7.981 and 8.793 Å, with angles of 90.00, 122.86 and 90.00 degrees. The inequivalent atoms are K at (0.000, 0.000, 0.000), K at (0.250, 0.250, 0.000), Pu at (0.000, 0.500, 0.500), Pu at (0.250, 0.250, 0.500), Hg at (0.000, 0.000, 0.500), S at (0.020, 0.250, 0.305), S at (0.233, 0.500, 0.701) and S at (0.244, 0.500, 0.293).

---

Record 25
K3Pu2HgS6: relaxed, PBE.

As for the total energy: -5.981 eV per atom. For the formation energy without anion corrections, the calculation gives -1.2287 eV per atom.

The space group is C2/m (No. 12) and the conventional cell measures 7.006, 12.352 and 7.673 Å, with angles of 90.00, 107.12 and 90.00 degrees. The inequivalent atoms are K at (0.000, 0.000, 0.000), K at (0.000, 0.340, 0.000), Pu at (0.000, 0.168, 0.500), Hg at (0.000, 0.500, 0.500), S at (0.228, 0.000, 0.696) and S at (0.244, 0.323, 0.706).